1.
## SrLi2Hg (GGA-PBEsol)

Data for an optimized crystal structure of SrLi2Hg.

Output
The space group is No. 99. The calculation puts the density of states at the Fermi level at 1.7 states/eV/f.u. As for the energy relative to the elements: -0.254 eV/atom.

Lattice parameters (Å, degrees): 3.7769 3.7769 7.2421 90.00 90.00 90.00
Sites, in units of the cell vectors:
Sr 0.5000 0.5000 0.5316
Hg 0.0000 0.0000 0.8027
Li 0.5000 0.5000 0.9858
Li 0.0000 0.0000 0.1800

***

2.
## NaTi2Ru (GGA-PBEsol)

Data for an optimized crystal structure of NaTi2Ru.

Output
The space group is No. 225. The calculation puts the density of states at the Fermi level at 3.9 states/eV/f.u. As for the energy relative to the elements: 0.247 eV/atom.

Lattice parameters (Å, degrees): 4.4641 4.4641 4.4641 60.00 60.00 60.00
Sites, in units of the cell vectors:
Ti 0.7500 0.7500 0.7500
Ti 0.2500 0.2500 0.2500
Ru 0.5000 0.5000 0.5000
Na 0.0000 0.0000 0.0000

***

3.
## TlTcBi2Au (GGA-PBEsol)

Data for an optimized crystal structure of TlTcBi2Au.

Output
The space group is No. 123. The calculation puts the density of states at the Fermi level at 2.7 states/eV/f.u. As for the energy relative to the elements: 0.567 eV/atom.

Lattice parameters (Å, degrees): 5.1642 5.1642 5.2529 90.00 90.00 90.00
Sites, in units of the cell vectors:
Tl 0.0000 0.0000 0.5000
Au 0.5000 0.5000 0.5000
Bi 0.5000 0.0000 0.0000
Bi 0.0000 0.5000 0.0000
Tc 0.0000 0.0000 0.0000

***

4.
## Sr4AsRu (GGA-PBEsol)

Data for an optimized crystal structure of Sr4AsRu.

Output
The space group is No. 216. The calculation puts the density of states at the Fermi level at 6.9 states/eV/f.u. As for the energy relative to the elements: 0.936 eV/atom.

Lattice parameters (Å, degrees): 6.2748 6.2748 6.2748 60.00 60.00 60.00
Each line ends with the local moment (μB).
Sites, in units of the cell vectors:
Sr 0.3749 0.3749 0.3749  -0.04
Sr 0.3749 0.3749 0.8753  -0.04
Sr 0.3749 0.8753 0.3749  -0.04
Sr 0.8753 0.3749 0.3749  -0.04
As 0.7500 0.7500 0.7500  0.04
Ru 0.0000 0.0000 0.0000  0.72

***

5.
## BeAu3O (GGA-PBEsol)

Data for an optimized crystal structure of BeAu3O.

Output
The space group is No. 221. As for the raw formation energy: 16.527 kcal/mol of atoms. The calculation puts the density of states at the Fermi level at 1.7 states/eV/f.u.

Lattice parameters (Å, degrees): 4.2653 4.2653 4.2653 90.00 90.00 90.00
Each line ends with the local moment (μB).
Sites, in units of the cell vectors:
Au 0.0000 0.5000 0.0000  -0.01
Au 0.5000 0.0000 0.0000  -0.01
Au 0.0000 0.0000 0.5000  -0.01
Be 0.0000 0.0000 0.0000  0.00
O 0.5000 0.5000 0.5000  0.57

***

6.
## CuTc2Mo (GGA-PBEsol)

Data for an optimized crystal structure of CuTc2Mo.

Output
The space group is No. 99. The value obtained for the offset from the most stable computed form is 0 meV/atom. The calculation puts the density of states at the Fermi level at 4.6 states/eV/f.u. As for the energy relative to the elements: 0.212 eV/atom.

Lattice parameters (Å, degrees): 2.7011 2.7011 7.5622 90.00 90.00 90.00
Sites, in units of the cell vectors:
Mo 0.5000 0.5000 0.7429
Tc 0.0000 0.0000 0.0144
Tc 0.5000 0.5000 0.2483
Cu 0.0000 0.0000 0.4944

***

- Number 6 is which compound?
  CuTc2Mo